Entry w
Below is crystalline SiAsPb at its relaxed geometry, with properties calculated at the PBE level.

Output
* theoretical density: 7.31 g cm⁻³

a b c (Å): 7.486 7.192 3.319
angles (deg): 81.93 72.03 26.04
Sites, in units of the cell vectors:
As1 0.028 0.028 0.972
Pb1 0.328 0.328 0.672
Si1 0.644 0.644 0.356

Entry x
Below is crystalline SiAsPb at its relaxed geometry, with properties calculated at the PBE level.

Output
* theoretical density: 6.31 g cm⁻³

a b c (Å): 4.868 4.868 4.868
angles (deg): 60.00 60.00 60.00
Sites, in units of the cell vectors:
Pb1 0.250 0.250 0.250
Si1 0.000 0.000 0.000
As1 0.500 0.500 0.500

Entry y
Below is crystalline SiAsPb at its relaxed geometry, with properties calculated at the PBE level.

Output
* theoretical density: 6.48 g cm⁻³

a b c (Å): 4.826 4.826 4.826
angles (deg): 60.00 60.00 60.00
Sites, in units of the cell vectors:
Si1 0.500 0.500 0.500
Pb1 0.000 0.000 0.000
As1 0.250 0.250 0.250

Entry z
Below is crystalline SiAsPb at its relaxed geometry, with properties calculated at the PBE level.

Output
* theoretical density: 7.23 g cm⁻³

a b c (Å): 3.706 3.706 5.993
angles (deg): 90.00 90.00 120.00
Sites, in units of the cell vectors:
Si1 0.333 0.667 0.724
Pb1 0.667 0.333 0.349
As1 0.000 0.000 0.927

entry z has the most favorable energy; the next structure is 23.6 kJ/mol of atoms above.

Entry w
Below is crystalline Sm2AsPb at its relaxed geometry, with properties calculated at the PBE level.

Output
* theoretical density: 8.22 g cm⁻³

a b c (Å): 4.145 4.145 8.264
angles (deg): 75.48 75.48 60.00
Sites, in units of the cell vectors:
Sm1 0.738 0.738 0.786
Sm2 0.262 0.262 0.214
As1 0.000 0.000 0.000
Pb1 0.500 0.500 0.500

Entry x
Below is crystalline Sm2AsPb at its relaxed geometry, with properties calculated at the PBE level.

Output
* theoretical density: 8.14 g cm⁻³

a b c (Å): 4.061 4.061 8.645
angles (deg): 76.42 76.42 60.00
Sites, in units of the cell vectors:
As1 0.667 0.667 0.998
Pb1 0.499 0.499 0.502
Sm1 0.265 0.265 0.204
Sm2 0.068 0.068 0.796

entry w has the most favorable energy; the next structure is 4.8 kJ/mol of atoms above.

Entry w
Below is crystalline Sn2AsPb at its relaxed geometry, with properties calculated at the PBE level.

Output
* theoretical density: 8.06 g cm⁻³

a b c (Å): 4.984 4.633 4.633
angles (deg): 90.00 90.00 90.00
Sites, in units of the cell vectors:
Sn1 0.000 0.000 0.500
Sn2 0.000 0.500 0.000
As1 0.500 0.500 0.500
Pb1 0.500 0.000 0.000

Entry x
Below is crystalline Sn2AsPb at its relaxed geometry, with properties calculated at the PBE level.

Output
* theoretical density: 7.60 g cm⁻³

a b c (Å): 4.009 4.009 8.476
angles (deg): 76.32 76.32 60.00
Sites, in units of the cell vectors:
Sn1 0.264 0.264 0.208
Sn2 0.736 0.736 0.792
Pb1 0.500 0.500 0.500
As1 0.000 0.000 0.000

entry x has the most favorable energy; the next structure is 9.9 kJ/mol of atoms above.

Entry w
Below is crystalline Sn2AsPb at its relaxed geometry, with properties calculated at the PBE level.

Output
* theoretical density: 5.88 g cm⁻³

a b c (Å): 6.656 6.656 8.124
angles (deg): 65.82 65.82 90.00
Sites, in units of the cell vectors:
Sn1 0.875 0.846 0.750
Sn2 0.375 0.404 0.750
Sn3 0.154 0.625 0.250
Sn4 0.596 0.125 0.250
As1 0.250 0.750 0.500
As2 0.500 0.500 0.000
Pb1 0.750 0.250 0.500
Pb2 0.000 0.000 0.000

Entry x
Below is crystalline Sn2AsPb at its relaxed geometry, with properties calculated at the PBE level.

Output
* theoretical density: 8.18 g cm⁻³

a b c (Å): 5.302 5.302 5.302
angles (deg): 60.00 60.00 60.00
Sites, in units of the cell vectors:
Pb1 0.500 0.500 0.500
Sn1 0.750 0.750 0.750
Sn2 0.250 0.250 0.250
As1 0.000 0.000 0.000

entry w has the most favorable energy; the next structure is 4.2 kJ/mol of atoms above.